Compound: ZnRe2Mo
Source: the Alexandria database
Functional: PBE
Structure: optimized geometry

Results
Total moment, μB per cell: 0.00
Final energy, eV/atom: -9.00
ρ, g/cm³: 14.77
SG: No. 47

Cell lengths 2.776, 3.994, 5.414 Å; angles 90.00, 90.00, 90.00 degrees
Positions (direct):
1 Mo 0.500 0.500 0.750
2 Zn 0.500 0.500 0.250
3 Re 0.000 0.000 0.492
4 Re 0.000 0.000 0.008